Record 1
PBE ReTcHg2, optimized geometry; polymorph energy (0 for the lowest one) = 0.519 eV/atom; symmetry = P-1, No. 2; calculated formation energy = 837 meV per atom
1.0
5.0143 -0.4116 0.1146
-2.8940 5.7665 0.6375
0.0560 1.2020 2.6748
Hg Re Tc
2 1 1
Direct
0.0000 0.0000 0.0000 Hg
0.5000 0.0000 0.5000 Hg
0.0000 0.5000 0.5000 Re
0.5000 0.5000 0.0000 Tc

***

Record 2
PBE CaCe3Pr2As6, optimized geometry; symmetry = C2/m, No. 12; calculated formation energy = -1412 meV per atom
1.0
-4.5720 -5.5908 1.5100
4.1218 2.9451 5.3644
-4.9219 5.4104 -0.8801
Ca Ce Pr As
1 3 2 6
Direct
0.0000 0.0000 0.0000 Ca
0.1663 0.8337 0.5000 Ce
0.8337 0.1663 0.5000 Ce
0.5000 0.5000 0.5000 Ce
0.3332 0.6668 0.0000 Pr
0.6668 0.3332 0.0000 Pr
0.9135 0.5789 0.7406 As
0.7520 0.7520 0.2600 As
0.0865 0.4211 0.2594 As
0.5789 0.9135 0.7406 As
0.2480 0.2480 0.7400 As
0.4211 0.0865 0.2594 As

***

Record 3
PBE CeHo2ThS4, optimized geometry; energy relative to the elements, uncorrected = -189.2 kJ/mol of atoms; symmetry = P2/m, No. 10
1.0
-1.1738 -3.6513 0.8212
6.6590 -2.0040 0.6080
1.9623 0.8157 6.4319
Ce Ho Th S
1 2 1 4
Direct
0.5000 0.5000 0.0000 Ce
0.0000 0.0000 0.0000 Ho
0.5000 0.0000 0.5000 Ho
0.0000 0.5000 0.5000 Th
0.0000 0.7651 0.7458 S
0.0000 0.2349 0.2542 S
0.5000 0.7661 0.2440 S
0.5000 0.2339 0.7560 S

***

Record 4
PBE TbGa2Ge, optimized geometry; polymorph energy (0 for the lowest one) = 0.111 eV/atom; symmetry = Cmcm, No. 63; calculated formation energy = -398 meV per atom
1.0
3.9997 0.0000 0.0000
-1.9998 5.3553 0.0000
0.0000 0.0000 7.6331
Tb Ga Ge
2 4 2
Direct
0.9319 0.8637 0.2500 Tb
0.0681 0.1363 0.7500 Tb
0.3803 0.7607 0.9386 Ga
0.6197 0.2393 0.0614 Ga
0.6197 0.2393 0.4386 Ga
0.3803 0.7607 0.5614 Ga
0.2226 0.4451 0.2500 Ge
0.7774 0.5549 0.7500 Ge

***

Record 5
PBE HoMg2Cd4, optimized geometry; symmetry = C2/m, No. 12; calculated formation energy = -42 meV per atom
1.0
-2.0150 -4.6295 -3.5703
3.0677 -5.3666 0.1689
-4.8540 3.5421 4.6406
Ho Mg Cd
1 2 4
Direct
0.0000 0.0000 0.0000 Ho
0.5916 0.6921 0.2837 Mg
0.4084 0.3079 0.7163 Mg
0.8300 0.3300 0.5000 Cd
0.1700 0.6700 0.5000 Cd
0.5000 0.0000 0.0000 Cd
0.0000 0.5000 0.0000 Cd

***

Record 6
PBE CsK3Rb3, optimized geometry; polymorph energy (0 for the lowest one) = 0.000 eV/atom; symmetry = R-3, No. 148; calculated formation energy = 46 meV per atom
1.0
3.0897 -3.8223 12.0494
2.5091 -12.0820 4.1320
11.3526 -4.7995 4.1746
Cs K Rb
2 6 6
Direct
0.3277 0.3277 0.3277 Cs
0.6723 0.6723 0.6723 Cs
0.7486 0.5864 0.0609 K
0.0609 0.7486 0.5864 K
0.5864 0.0609 0.7486 K
0.4136 0.9391 0.2514 K
0.9391 0.2514 0.4136 K
0.2514 0.4136 0.9391 K
0.7215 0.1942 0.8976 Rb
0.1942 0.8976 0.7215 Rb
0.8976 0.7215 0.1942 Rb
0.1024 0.2785 0.8058 Rb
0.8058 0.1024 0.2785 Rb
0.2785 0.8058 0.1024 Rb